Entry 1:
# CaCo2Au

A geometry-optimized CaCo2Au structure (PBE-GGA, Alexandria via LeMat-Bulk).

It has space group I-4m2 (No. 119), with a = 4.053 Å, b = 4.053 Å, c = 8.041 Å, α = 90.00°, β = 90.00° and γ = 90.00°. The distinct sites, in fractional coordinates, are Ca at (0.000, 0.000, 0.000), Co at (0.000, 0.000, 0.500), Co at (0.000, 0.500, 0.750) and Au at (0.000, 0.500, 0.250).

For the calculated density, the calculation gives 8.921 g/cm³. As for the crystal system: tetragonal. For the calculated total energy, the calculation gives -18.55 eV per formula unit. The calculation puts the density of states at the Fermi level at 8.9 states/eV/cell. Its total magnetization is 5.9 μB/cell. For the formation energy, the calculation gives 236 meV/atom.

***

Entry 2:
# Pr4Nd2SmY2

A geometry-optimized Pr4Nd2SmY2 structure (PBE-GGA, Alexandria via LeMat-Bulk).

It has space group C2/m (No. 12), with a = 15.586 Å, b = 5.197 Å, c = 8.179 Å, α = 90.00°, β = 108.55° and γ = 90.00°. The distinct sites, in fractional coordinates, are Pr at (0.055, 0.000, 0.331), Pr at (0.222, 0.500, 0.331), Nd at (0.111, 0.500, 0.668), Sm at (0.000, 0.500, 0.000) and Y at (0.167, 0.000, 0.000).

For the calculated density, the calculation gives 6.241 g/cm³. As for the crystal system: monoclinic. For the calculated total energy, the calculation gives -46.16 eV per formula unit. The calculation puts the density of states at the Fermi level at 29.4 states/eV/cell. Its total magnetization is 0.0 μB/cell. For the formation energy, the calculation gives 16 meV/atom.

***

Entry 3:
# CsAl2CrCl8

A geometry-optimized CsAl2CrCl8 structure (PBE-GGA, Alexandria via LeMat-Bulk).

It has space group R-3 (No. 148, hexagonal axes), with a = 6.5333 Å, b = 6.5333 Å, c = 29.2248 Å, α = 90.00°, β = 90.00° and γ = 120.00°. The distinct sites, in fractional coordinates, are Cs at (0.0000, 0.0000, 0.0000), Al at (0.0000, 0.0000, 0.2443), Cr at (0.0000, 0.0000, 0.5000), Cl at (0.0000, 0.0000, 0.3184) and Cl at (0.0083, 0.3203, 0.2218).

For the calculated density, the calculation gives 2.409 g/cm³. The uncorrected formation energy is -1.4144 eV per atom. As for the crystal system: trigonal. For the calculated total energy, the calculation gives -49.71 eV per formula unit. Its total magnetization is 15.0 μB/cell.

***

Entry 4:
# Tm4NiIr

A geometry-optimized Tm4NiIr structure (PBE-GGA, Alexandria via LeMat-Bulk).

It has space group I4_1md (No. 109), with a = 9.094 Å, b = 9.094 Å, c = 7.940 Å, α = 90.00°, β = 90.00° and γ = 90.00°. The distinct sites, in fractional coordinates, are Tm at (0.000, 0.297, 0.000), Tm at (0.000, 0.300, 0.493), Ni at (0.000, 0.000, 0.995) and Ir at (0.000, 0.000, 0.499).

For the energy above the most stable polymorph in this dataset, the calculation gives 62 meV/atom. For the calculated density, the calculation gives 9.373 g/cm³. As for the crystal system: tetragonal. For the calculated total energy, the calculation gives -35.18 eV per formula unit. The calculation puts the density of states at the Fermi level at 12.8 states/eV/cell. Its total magnetization is 0.0 μB/cell. For the formation energy, the calculation gives -442 meV/atom.

***

Entry 5:
# SrLi2Ho

A geometry-optimized SrLi2Ho structure (PBE-GGA, Alexandria via LeMat-Bulk).

It has space group P4/mmm (No. 123), with a = 3.894 Å, b = 3.894 Å, c = 8.050 Å, α = 90.00°, β = 90.00° and γ = 90.00°. The distinct sites, in fractional coordinates, are Sr at (0.000, 0.000, 0.000), Li at (0.500, 0.500, 0.283) and Ho at (0.000, 0.000, 0.500).

For the energy above the most stable polymorph in this dataset, the calculation gives 0 meV/atom. For the calculated density, the calculation gives 3.624 g/cm³. As for the crystal system: tetragonal. For the calculated total energy, the calculation gives -9.52 eV per formula unit. The calculation puts the density of states at the Fermi level at 3.5 states/eV/cell. Its total magnetization is 0.0 μB/cell. For the formation energy, the calculation gives 141 meV/atom.

***

Entry 6:
# BePbAu2

A geometry-optimized BePbAu2 structure (PBE-GGA, Alexandria via LeMat-Bulk).

It has space group Immm (No. 71), with a = 3.062 Å, b = 5.359 Å, c = 9.481 Å, α = 90.00°, β = 90.00° and γ = 90.00°. The distinct sites, in fractional coordinates, are Be at (0.000, 0.000, 0.000), Pb at (0.000, 0.000, 0.500) and Au at (0.000, 0.500, 0.312).

For the energy above the most stable polymorph in this dataset, the calculation gives 116 meV/atom. For the calculated density, the calculation gives 13.026 g/cm³. As for the crystal system: orthorhombic. For the calculated total energy, the calculation gives -13.62 eV per formula unit. The calculation puts the density of states at the Fermi level at 3.8 states/eV/cell. Its total magnetization is 0.0 μB/cell. For the formation energy, the calculation gives 93 meV/atom.

***

Entry 7:
# AlIrCl2

A geometry-optimized AlIrCl2 structure (PBE-GGA, Alexandria via LeMat-Bulk).

It has space group C2/m (No. 12), with a = 5.710 Å, b = 8.700 Å, c = 3.259 Å, α = 90.00°, β = 123.11° and γ = 90.00°. The distinct sites, in fractional coordinates, are Al at (0.000, 0.000, 0.000), Ir at (0.000, 0.500, 0.000) and Cl at (0.250, 0.250, 0.000).

For the energy above the most stable polymorph in this dataset, the calculation gives 809 meV/atom. For the calculated density, the calculation gives 7.106 g/cm³. The uncorrected formation energy is 0.2616 eV per atom. As for the crystal system: monoclinic. For the calculated total energy, the calculation gives -15.25 eV per formula unit. The calculation puts the density of states at the Fermi level at 4.5 states/eV/cell. Its total magnetization is 0.0 μB/cell.

***

Entry 8:
# Cd2CoCu

A geometry-optimized Cd2CoCu structure (PBE-GGA, Alexandria via LeMat-Bulk).

It has space group I-42d (No. 122), with a = 3.940 Å, b = 3.940 Å, c = 18.577 Å, α = 90.00°, β = 90.00° and γ = 90.00°. The distinct sites, in fractional coordinates, are Cd at (0.249, 0.250, 0.125), Co at (0.000, 0.000, 0.000) and Cu at (0.000, 0.000, 0.500).

For the energy above the most stable polymorph in this dataset, the calculation gives 349 meV/atom. For the calculated density, the calculation gives 8.000 g/cm³. As for the crystal system: tetragonal. For the calculated total energy, the calculation gives -10.79 eV per formula unit. The calculation puts the density of states at the Fermi level at 9.5 states/eV/cell. Its total magnetization is 4.6 μB/cell. For the formation energy, the calculation gives 561 meV/atom.

***

Entry 9:
# MgCoIr2

A geometry-optimized MgCoIr2 structure (PBE-GGA, Alexandria via LeMat-Bulk).

It has space group P4mm (No. 99), with a = 2.759 Å, b = 2.759 Å, c = 7.506 Å, α = 90.00°, β = 90.00° and γ = 90.00°. The distinct sites, in fractional coordinates, are Mg at (0.000, 0.000, 0.000), Co at (0.500, 0.500, 0.260), Ir at (0.000, 0.000, 0.478) and Ir at (0.500, 0.500, 0.730).

For the calculated density, the calculation gives 13.591 g/cm³. As for the crystal system: tetragonal. For the calculated total energy, the calculation gives -26.53 eV per formula unit. The calculation puts the density of states at the Fermi level at 3.5 states/eV/cell. Its total magnetization is 1.1 μB/cell. For the formation energy, the calculation gives -26 meV/atom.

***

Entry 10:
# TbCe2Lu

A geometry-optimized TbCe2Lu structure (PBE-GGA, Alexandria via LeMat-Bulk).

It has space group Fm-3m (No. 225), with a = 7.920 Å, b = 7.920 Å, c = 7.920 Å, α = 90.00°, β = 90.00° and γ = 90.00°. The distinct sites, in fractional coordinates, are Tb at (0.000, 0.000, 0.000), Ce at (0.250, 0.250, 0.250) and Lu at (0.000, 0.000, 0.500).

For the energy above the most stable polymorph in this dataset, the calculation gives 128 meV/atom. For the calculated density, the calculation gives 8.210 g/cm³. As for the crystal system: cubic. For the calculated total energy, the calculation gives -20.16 eV per formula unit. The calculation puts the density of states at the Fermi level at 57.1 states/eV/cell. Its total magnetization is 6.5 μB/cell. For the formation energy, the calculation gives 214 meV/atom.

***

Entry 11:
# Tl2AsPt3O12

A geometry-optimized Tl2AsPt3O12 structure (PBE-GGA, Alexandria via LeMat-Bulk).

It has space group R-3m (No. 166, hexagonal axes), with a = 7.1392 Å, b = 7.1392 Å, c = 17.2481 Å, α = 90.00°, β = 90.00° and γ = 120.00°. The distinct sites, in fractional coordinates, are Tl at (0.0000, 0.0000, 0.1766), As at (0.0000, 0.0000, 0.5000), Pt at (0.0000, 0.5000, 0.0000), O at (0.0706, 0.5353, 0.3726) and O at (0.0788, 0.5394, 0.1114).

For the calculated density, the calculation gives 8.251 g/cm³. The uncorrected formation energy is -0.4986 eV per atom. As for the crystal system: trigonal. For the calculated total energy, the calculation gives -95.98 eV per formula unit. The calculation puts the density of states at the Fermi level at 30.9 states/eV/cell. Its total magnetization is 0.0 μB/cell.

***

Entry 12:
# Hf6CO

A geometry-optimized Hf6CO structure (PBE-GGA, Alexandria via LeMat-Bulk).

It has space group C2/m (No. 12), with a = 5.595 Å, b = 9.589 Å, c = 5.592 Å, α = 90.00°, β = 108.07° and γ = 90.00°. The distinct sites, in fractional coordinates, are Hf at (0.248, 0.000, 0.252), Hf at (0.249, 0.161, 0.750), C at (0.000, 0.000, 0.500) and O at (0.000, 0.500, 0.000).

For the energy above the most stable polymorph in this dataset, the calculation gives 40 meV/atom. For the calculated density, the calculation gives 12.797 g/cm³. The uncorrected formation energy is -0.8753 eV per atom. As for the crystal system: monoclinic. For the calculated total energy, the calculation gives -80.91 eV per formula unit. The calculation puts the density of states at the Fermi level at 10.6 states/eV/cell. Its total magnetization is 0.0 μB/cell.

***

Among the records above, which one has the lowest calculated total energy? Tl2AsPt3O12